(1)
# Sc2FeAg2

Sc2FeAg2 after structural relaxation (PBE, Alexandria via LeMat-Bulk).

abc: 6.7288 6.7288 4.2410
angles: 90.00 90.00 90.00
With the nearest neighbours (Å) after each atom.
Element x y z (fractional)
Sc: 0.1654 0.3346 0.0000  2 Fe 2.51, 2 Ag 2.78
Sc: 0.3346 0.8346 0.0000  2 Fe 2.51, 2 Ag 2.78
Sc: 0.6654 0.1654 0.0000  2 Fe 2.51, 2 Ag 2.78
Sc: 0.8346 0.6654 0.0000  2 Fe 2.51, 2 Ag 2.78
Fe: 0.0000 0.0000 0.0000  4 Sc 2.51
Fe: 0.5000 0.5000 0.0000  4 Sc 2.51
Ag: 0.1465 0.6465 0.5000  6 Sc 2.78-2.99, 1 Ag 2.79
Ag: 0.3535 0.1465 0.5000  6 Sc 2.78-2.99, 1 Ag 2.79
Ag: 0.6465 0.8535 0.5000  6 Sc 2.78-2.99, 1 Ag 2.79
Ag: 0.8535 0.3535 0.5000  6 Sc 2.78-2.99, 1 Ag 2.79

Calculated values
SG: P4/mbm

(2)
# Sc2FeAg

Sc2FeAg after structural relaxation (PBE, Alexandria via LeMat-Bulk).

abc: 8.7016 8.7016 8.7016
angles: 21.15 21.15 21.15
With the nearest neighbours (Å) after each atom.
Element x y z (fractional)
Sc: 0.2381 0.2381 0.2381  3 Fe 2.59
Sc: 0.7619 0.7619 0.7619  3 Fe 2.59
Fe: 0.5000 0.5000 0.5000  6 Sc 2.59
Ag: 0.0000 0.0000 0.0000  6 Sc 3.05, 6 Ag 3.19

Calculated values
SG: R-3m

no.,formation energy (eV/atom),spin magnetization (μB per formula unit)
1,0.239,0.0
2,0.051,0.8